No. 1
This record from Alexandria via LeMat-Bulk describes a relaxed RbSrCaMn2 crystal. The functional is PBE.

## Properties
The total energy comes out at -0.2517 Ry per atom. For the calculated formation energy, the calculation gives 1.17 eV/atom. The calculated volume comes out at 42.0 Å³ per atom.

a = 5.7326 Å, b = 5.7326 Å, c = 6.3911 Å
α = 90.00°, β = 90.00°, γ = 90.00°
Closest atoms and distances in Å follow each position.
Space group P4/mmm (No. 123)
Symmetry-distinct sites (fractional):
1 Rb 0.0000 0.0000 0.0000  4 Sr 4.05, 8 Mn 4.29
2 Sr 0.5000 0.5000 0.0000  2 Ca 3.20
3 Ca 0.5000 0.5000 0.5000  4 Mn 2.87, 2 Sr 3.20
4 Mn 0.0000 0.5000 0.5000  2 Ca 2.87

No. 2
This record from Alexandria via LeMat-Bulk describes a relaxed RbCaMn2Tl crystal. The functional is PBE.

## Properties
The total energy comes out at -0.2706 Ry per atom. For the calculated formation energy, the calculation gives 1.05 eV/atom. The calculated volume comes out at 39.3 Å³ per atom.

a = 5.7083 Å, b = 5.7083 Å, c = 6.0249 Å
α = 90.00°, β = 90.00°, γ = 90.00°
Closest atoms and distances in Å follow each position.
Space group P4/mmm (No. 123)
Symmetry-distinct sites (fractional):
1 Rb 0.0000 0.0000 0.0000  4 Tl 4.04, 8 Mn 4.15
2 Ca 0.5000 0.5000 0.5000  4 Mn 2.85, 2 Tl 3.01
3 Mn 0.0000 0.5000 0.5000  2 Ca 2.85
4 Tl 0.5000 0.5000 0.0000  2 Ca 3.01

No. 3
This record from Alexandria via LeMat-Bulk describes a relaxed RbCa2MnZn crystal. The functional is PBE.

## Properties
The total energy comes out at -0.1987 Ry per atom. For the calculated formation energy, the calculation gives 0.38 eV/atom. The calculated volume comes out at 35.9 Å³ per atom.

a = 5.9463 Å, b = 5.9463 Å, c = 5.0731 Å
α = 90.00°, β = 90.00°, γ = 90.00°
Closest atoms and distances in Å follow each position.
Space group P4/mmm (No. 123)
Symmetry-distinct sites (fractional):
1 Rb 0.0000 0.0000 0.0000  8 Ca 3.91, 4 Mn 4.20
2 Ca 0.0000 0.5000 0.5000  2 Zn 2.97
3 Mn 0.5000 0.5000 0.0000  2 Zn 2.54
4 Zn 0.5000 0.5000 0.5000  2 Mn 2.54

No. 4
This record from Alexandria via LeMat-Bulk describes a relaxed Ca2MnRe crystal. The functional is PBE.

## Properties
The total energy comes out at -0.4073 Ry per atom. For the calculated formation energy, the calculation gives 0.86 eV/atom. The calculation puts the relative energy among the computed polymorphs at 12.78 kcal/mol of atoms. The calculated volume comes out at 21.0 Å³ per atom.

a = 4.2560 Å, b = 4.2769 Å, c = 4.6255 Å
α = 90.00°, β = 90.00°, γ = 90.00°
Closest atoms and distances in Å follow each position.
Space group Pmmm (No. 47)
Symmetry-distinct sites (fractional):
1 Ca 0.0000 0.0000 0.0000  4 Ca 3.02, 4 Re 3.14, 4 Mn 3.15
2 Ca 0.5000 0.5000 0.0000  4 Ca 3.02, 4 Mn 3.14, 4 Re 3.15
3 Mn 0.0000 0.5000 0.5000  4 Re 3.02, 8 Ca 3.14-3.15
4 Re 0.5000 0.0000 0.5000  4 Mn 3.02, 8 Ca 3.14-3.15

No. 5
This record from Alexandria via LeMat-Bulk describes a relaxed CaMnRe2 crystal. The functional is PBE.

## Properties
The total energy comes out at -0.6235 Ry per atom. For the calculated formation energy, the calculation gives 0.53 eV/atom. The calculation puts the relative energy among the computed polymorphs at 1.22 kcal/mol of atoms. The calculated volume comes out at 17.4 Å³ per atom.

a = 3.1104 Å, b = 3.1104 Å, c = 7.1994 Å
α = 90.00°, β = 90.00°, γ = 90.00°
Closest atoms and distances in Å follow each position.
Space group P4/mmm (No. 123)
Symmetry-distinct sites (fractional):
1 Ca 0.0000 0.0000 0.0000  4 Ca 3.11, 8 Re 3.21
2 Mn 0.0000 0.0000 0.5000  8 Re 2.53
3 Re 0.5000 0.5000 0.3250  1 Re 2.52, 4 Mn 2.53

No. 6
This record from Alexandria via LeMat-Bulk describes a relaxed CaMnRe2 crystal. The functional is PBE.

## Properties
The total energy comes out at -0.5893 Ry per atom. For the calculated formation energy, the calculation gives 1.00 eV/atom. The calculation puts the relative energy among the computed polymorphs at 11.94 kcal/mol of atoms. The calculated volume comes out at 16.2 Å³ per atom.

a = 4.7989 Å, b = 4.7989 Å, c = 2.8130 Å
α = 90.00°, β = 90.00°, γ = 90.00°
Closest atoms and distances in Å follow each position.
Space group P4/mmm (No. 123)
Symmetry-distinct sites (fractional):
1 Ca 0.0000 0.0000 0.0000  8 Re 2.78, 2 Ca 2.81
2 Mn 0.5000 0.5000 0.0000  8 Re 2.78, 2 Mn 2.81
3 Re 0.0000 0.5000 0.5000  4 Mn 2.78, 4 Ca 2.78, 2 Re 2.81

No. 7
This record from Alexandria via LeMat-Bulk describes a relaxed CaMnRe3 crystal. The functional is PBE.

## Properties
The total energy comes out at -0.4549 Ry per atom. For the calculated formation energy, the calculation gives 3.51 eV/atom. The calculation puts the relative energy among the computed polymorphs at 53.39 kcal/mol of atoms. The calculated volume comes out at 18.2 Å³ per atom.

a = 4.4943 Å, b = 4.4943 Å, c = 4.4943 Å
α = 90.00°, β = 90.00°, γ = 90.00°
Closest atoms and distances in Å follow each position.
Space group Pm-3m (No. 221)
Symmetry-distinct sites (fractional):
1 Ca 0.0000 0.0000 0.0000  6 Re 2.25
2 Mn 0.5000 0.5000 0.5000  12 Re 3.18
3 Re 0.0000 0.0000 0.5000  2 Ca 2.25

No. 8
This record from Alexandria via LeMat-Bulk describes a relaxed CaMnRe2 crystal. The functional is PBE.

## Properties
The total energy comes out at -0.6123 Ry per atom. For the calculated formation energy, the calculation gives 0.69 eV/atom. The calculation puts the relative energy among the computed polymorphs at 4.72 kcal/mol of atoms. The calculated volume comes out at 16.7 Å³ per atom.

a = 3.1472 Å, b = 4.4238 Å, c = 4.7879 Å
α = 90.00°, β = 90.00°, γ = 90.00°
Closest atoms and distances in Å follow each position.
Space group Pmmm (No. 47)
Symmetry-distinct sites (fractional):
1 Ca 0.0000 0.0000 0.0000  4 Mn 2.71, 4 Re 2.86
2 Mn 0.5000 0.5000 0.0000  4 Ca 2.71, 4 Re 2.86
3 Re 0.0000 0.5000 0.5000  4 Re 2.71, 4 Mn 2.86
4 Re 0.5000 0.0000 0.5000  4 Re 2.71, 4 Ca 2.86

- Which value of calculated formation energy does entry 3 give?
  0.38 eV/atom

- What is the calculated formation energy in the fourth record?
  0.86 eV/atom